1.
Compound: NaY2Co
Source: Alexandria
Functional: GGA-PBE
Structure: relaxed

The structure in CIF format:
```
data_NaY2Co
_cell_length_a 8.058
_cell_length_b 8.058
_cell_length_c 6.623
_cell_angle_alpha 52.53
_cell_angle_beta 52.53
_cell_angle_gamma 90.00
_symmetry_space_group_name_H-M 'P 1'
_symmetry_Int_Tables_number 1
loop_
_symmetry_equiv_pos_as_xyz
'x,y,z'
loop_
_atom_site_label
_atom_site_fract_x
_atom_site_fract_y
_atom_site_fract_z
Y1 0.705 0.125 0.250
Y2 0.045 0.625 0.250
Y3 0.375 0.295 0.750
Y4 0.875 0.955 0.750
Na1 0.500 0.500 0.000
Na2 0.250 0.750 0.500
Co1 0.000 0.000 0.000
Co2 0.750 0.250 0.500
```

Values from the calculation:
magnetization = 0.00 μB per atom
excess energy over the best structure of this formula in the dataset = 374.6 meV per atom
total energy = -39.865 eV/cell
ΔH_f (0 K) = 0.355 eV/atom
space group = No. 122

=====

2.
Compound: TaAl2Se
Source: Alexandria
Functional: GGA-PBE
Structure: relaxed

The structure in CIF format:
```
data_TaAl2Se
_cell_length_a 2.903
_cell_length_b 2.903
_cell_length_c 8.486
_cell_angle_alpha 90.00
_cell_angle_beta 90.00
_cell_angle_gamma 95.72
_symmetry_space_group_name_H-M 'P 1'
_symmetry_Int_Tables_number 1
loop_
_symmetry_equiv_pos_as_xyz
'x,y,z'
loop_
_atom_site_label
_atom_site_fract_x
_atom_site_fract_y
_atom_site_fract_z
Al1 0.000 0.000 0.984
Al2 0.000 0.000 0.516
Se1 0.500 0.500 0.250
Ta1 0.500 0.500 0.750
```

Values from the calculation:
magnetization = 0.00 μB per atom
total energy = -22.740 eV/cell
space group = No. 65

=====

3.
Compound: LaPm2Er5Tm
Source: Alexandria
Functional: GGA-PBE
Structure: relaxed

The structure in CIF format:
```
data_LaPm2Er5Tm
_cell_length_a 8.745
_cell_length_b 8.745
_cell_length_c 9.844
_cell_angle_alpha 116.37
_cell_angle_beta 116.37
_cell_angle_gamma 90.00
_symmetry_space_group_name_H-M 'P 1'
_symmetry_Int_Tables_number 1
loop_
_symmetry_equiv_pos_as_xyz
'x,y,z'
loop_
_atom_site_label
_atom_site_fract_x
_atom_site_fract_y
_atom_site_fract_z
La1 0.250 0.250 0.500
La2 0.750 0.750 0.500
Pm1 0.116 0.384 0.000
Pm2 0.616 0.116 0.000
Pm3 0.384 0.884 0.000
Pm4 0.884 0.616 0.000
Er1 0.927 0.427 0.272
Er2 0.655 0.155 0.728
Er3 0.073 0.573 0.728
Er4 0.155 0.073 0.728
Er5 0.573 0.655 0.728
Er6 0.845 0.927 0.272
Er7 0.427 0.345 0.272
Er8 0.345 0.845 0.272
Er9 0.500 0.500 0.000
Er10 0.000 0.000 0.000
Tm1 0.250 0.750 0.500
Tm2 0.750 0.250 0.500
```

Values from the calculation:
magnetization = 0.00 μB per atom
total energy = -78.635 eV/cell
ΔH_f (0 K) = 0.266 eV/atom
space group = No. 140

=====

Q: Which of these has the lowest total energy?
A: LaPm2Er5Tm

=====

Q: Among the records above, which one has the lowest total energy?
A: LaPm2Er5Tm